# 1
A geometry-optimized NaPm3Ho2Se6 structure, computed with PBE-GGA.

- E_tot: -5.564 eV/atom
- Space group: C2/m, No. 12
- Formation energy from raw total energies: -1.76 eV per atom
- Spin magnetization: 0.0 Bohr magnetons per cell
- Density of states at the Fermi level: 3.8 states/eV per cell

Cell lengths 4.129, 8.330, 9.290 Å; angles 103.14, 102.84, 90.00 degrees
Fractional coordinates of all 12 atoms:
Na (0.500, 0.000, 0.000)
Pm (0.500, 0.500, 0.000)
Pm (0.839, 0.176, 0.678)
Pm (0.161, 0.824, 0.322)
Ho (0.835, 0.661, 0.669)
Ho (0.165, 0.339, 0.331)
Se (0.332, 0.908, 0.663)
Se (0.670, 0.577, 0.339)
Se (0.668, 0.092, 0.337)
Se (0.005, 0.248, 0.010)
Se (0.995, 0.752, 0.990)
Se (0.330, 0.423, 0.661)



# 2
A geometry-optimized NaPm2Ho3Se6 structure, computed with PBE-GGA.

- E_tot: -5.553 eV/atom
- Space group: C2/m, No. 12
- Formation energy from raw total energies: -1.76 eV per atom
- Spin magnetization: 0.0 Bohr magnetons per cell
- Density of states at the Fermi level: 3.4 states/eV per cell

Cell lengths 4.098, 8.318, 9.265 Å; angles 103.47, 102.78, 90.00 degrees
Fractional coordinates of all 12 atoms:
Na (0.500, 0.000, 0.000)
Pm (0.829, 0.656, 0.658)
Pm (0.171, 0.344, 0.342)
Ho (0.500, 0.500, 0.000)
Ho (0.834, 0.173, 0.668)
Ho (0.166, 0.827, 0.332)
Se (0.332, 0.925, 0.663)
Se (0.662, 0.591, 0.323)
Se (0.668, 0.075, 0.337)
Se (0.999, 0.255, 0.997)
Se (0.001, 0.745, 0.003)
Se (0.338, 0.409, 0.677)